Run one
Density functional theory data (PBE-GGA) for a relaxed LaBe3In crystal.

It has space group Pm-3m (No. 221), with a = 4.591 Å, b = 4.591 Å, c = 4.591 Å, α = 90.00°, β = 90.00° and γ = 90.00°. The inequivalent atoms are La at (0.000, 0.000, 0.000), Be at (0.000, 0.500, 0.500) and In at (0.500, 0.500, 0.500).

Its total magnetization is 0.00 μB/f.u.

Run two
Density functional theory data (PBE-GGA) for a relaxed LaBe3In crystal.

It has space group Pm-3m (No. 221), with a = 5.133 Å, b = 5.133 Å, c = 5.133 Å, α = 90.00°, β = 90.00° and γ = 90.00°. The inequivalent atoms are La at (0.000, 0.000, 0.000), Be at (0.000, 0.000, 0.500) and In at (0.500, 0.500, 0.500).

Its total magnetization is 0.00 μB/f.u.

The structure with the most favorable energy is run one; the runner-up is 112.5 kJ/mol of atoms above it.

Run one
Density functional theory data (PBE-GGA) for a relaxed LaBeIn3 crystal.

It has space group Pm-3m (No. 221), with a = 6.185 Å, b = 6.185 Å, c = 6.185 Å, α = 90.00°, β = 90.00° and γ = 90.00°. The inequivalent atoms are La at (0.000, 0.000, 0.000), Be at (0.500, 0.500, 0.500) and In at (0.000, 0.000, 0.500).

Its total magnetization is 0.00 μB/f.u.

Run two
Density functional theory data (PBE-GGA) for a relaxed LaBeIn3 crystal.

It has space group Pm-3m (No. 221), with a = 4.979 Å, b = 4.979 Å, c = 4.979 Å, α = 90.00°, β = 90.00° and γ = 90.00°. The inequivalent atoms are La at (0.000, 0.000, 0.000), Be at (0.500, 0.500, 0.500) and In at (0.000, 0.500, 0.500).

Its total magnetization is 0.00 μB/f.u.

The structure with the most favorable energy is run two; the runner-up is 126.6 kJ/mol of atoms above it.